The following is a DFT calculation (PBE with a Hubbard U) of a relaxed structure of VSb2O8.

Output
- electronic total energy (eV/atom) = -6.201
- total magnetic moment (μB per cell) = 2.2

a = 5.4011 Å, b = 9.1679 Å, c = 7.0955 Å
α = 90.00°, β = 97.31°, γ = 90.00°
Last column: nearest neighbours and their distance in Å.
Space group Cm (No. 8)
Asymmetric unit:
V: 0.0000 0.0000 0.0000  2 O 1.67
Sb: 0.0142 0.3294 0.3054  6 O 1.95-2.17
O: 0.1513 0.5000 0.4461  2 Sb 1.95
O: 0.2265 0.1839 0.4456  2 Sb 1.95
O: 0.3089 0.3331 0.1415  2 Sb 2.09-2.11, 1 V 2.16
O: 0.3286 0.0000 0.1294  1 V 1.89
O: 0.4953 0.3687 0.8364  1 V 1.67